Density functional theory data (PBE-GGA) for a relaxed PaZnSn2O8 crystal.

Geometry as CIF:
```
data_PaZnSn2O8
_symmetry_space_group_name_H-M 'I -4 m 2'
_symmetry_Int_Tables_number 119
_symmetry_space_group_name_Hall 'I -4 -2'
_cell_length_a 6.9703
_cell_length_b 6.9703
_cell_length_c 7.1725
_cell_angle_alpha 90.00
_cell_angle_beta 90.00
_cell_angle_gamma 90.00
loop_
_atom_site_label
_atom_site_type_symbol
_atom_site_fract_x
_atom_site_fract_y
_atom_site_fract_z
Pa1 Pa 0.0000 0.0000 0.0000
Zn1 Zn 0.0000 0.5000 0.2500
Sn1 Sn 0.0000 0.0000 0.5000
Sn2 Sn 0.0000 0.5000 0.7500
O1 O 0.0000 0.1991 0.2982
O2 O 0.0000 0.2979 0.9364
```

Output
The total DFT energy (no corrections) comes out at -6.5924 eV/atom. The size of the total moment comes out at 1.004 μB/f.u. The formation energy from raw total energies is -1722 meV/atom. The density of states at the Fermi level comes out at 0.80 states/eV/atom.